No. 1
## Co2AuCO (GGA+U)

Data for Co2AuCO after structural relaxation.

Cell: 3.7806 3.7806 4.2293 Å, 90.00 90.00 90.00°
With the nearest neighbours (Å) after each atom.
Space group P4/mmm (No. 123)
Asymmetric unit:
Co1 0.0000 0.5000 0.0000  2 C 1.89
Au1 0.0000 0.0000 0.5000  2 C 2.11
C1 0.0000 0.0000 0.0000  4 Co 1.89, 2 Au 2.11
O1 0.5000 0.5000 0.5000  4 Au 2.67, 8 Co 2.84

Calculated values
E_tot: -4.670 eV/atom
Calculated volume: 60 Å³/cell
Size of the total moment: 2.9 μB/cell

No. 2
## CoAuCO2 (GGA+U)

Data for CoAuCO2 after structural relaxation.

Cell: 3.8666 3.8666 3.6472 Å, 90.00 90.00 90.00°
With the nearest neighbours (Å) after each atom.
Space group P4/mmm (No. 123)
Asymmetric unit:
Co1 0.0000 0.0000 0.0000  2 C 1.82, 4 O 1.93
Au1 0.5000 0.5000 0.5000  8 O 2.66, 4 C 2.73
C1 0.0000 0.0000 0.5000  2 Co 1.82
O1 0.0000 0.5000 0.0000  2 Co 1.93

Calculated values
E_tot: -4.532 eV/atom
Calculated volume: 55 Å³/cell
Size of the total moment: 1.1 μB/cell